1.
6
Lattice="-0.507 -2.795 3.800 1.022 -4.623 -0.302 3.831 -1.731 2.199" Properties=species:S:1:pos:R:3 comment="MgCr4Re | the Alexandria database | GGA-PBEsol | relaxed" formation_enthalpy_0k_ev_per_atom=0.141 dos_at_fermi_per_ev_fu=3.908 pbc="T T T"
Cr 1.630 -3.431 2.137
Cr 2.141 -5.742 1.986
Cr 3.545 -4.297 3.236
Cr 1.377 -4.828 4.036
Re 0.000 0.000 0.000
Mg 3.259 -6.862 4.273



2.
4
Lattice="3.586 0.000 0.000 0.000 3.586 0.000 -1.793 -1.793 4.193" Properties=species:S:1:pos:R:3 comment="MgCr2Re | the Alexandria database | GGA-PBEsol | relaxed" formation_enthalpy_0k_ev_per_atom=0.545 dos_at_fermi_per_ev_fu=3.758 pbc="T T T"
Mg 1.793 1.793 0.000
Cr 0.000 0.000 0.000
Cr 1.793 0.000 2.096
Re 0.000 1.793 2.096



3.
5
Lattice="-1.534 2.933 0.450 -1.699 -1.283 2.574 6.763 1.192 2.890" Properties=species:S:1:pos:R:3 comment="Mg2CrRe2 | the Alexandria database | GGA-PBEsol | relaxed" formation_enthalpy_0k_ev_per_atom=1.112 dos_at_fermi_per_ev_fu=2.805 pbc="T T T"
Re -0.719 1.177 2.279
Re 4.249 1.665 3.634
Mg 1.806 2.475 2.426
Mg 1.724 0.367 3.488
Cr 0.000 0.000 0.000



4.
5
Lattice="4.389 0.000 0.000 0.000 4.844 0.000 0.000 0.000 4.844" Properties=species:S:1:pos:R:3 comment="MgSc2CrRe | the Alexandria database | GGA-PBEsol | relaxed" formation_enthalpy_0k_ev_per_atom=0.616 dos_at_fermi_per_ev_fu=4.866 pbc="T T T"
Mg 2.194 2.422 2.422
Sc 0.000 2.422 0.000
Sc 0.000 0.000 2.422
Re 2.194 0.000 0.000
Cr 0.000 0.000 0.000



5.
4
Lattice="-1.837 -0.081 1.826 3.098 -2.129 3.022 -0.324 4.811 -0.112" Properties=species:S:1:pos:R:3 comment="MgCr2Rh | the Alexandria database | GGA-PBEsol | relaxed" formation_enthalpy_0k_ev_per_atom=0.346 dos_at_fermi_per_ev_fu=4.318 pbc="T T T"
Cr 1.549 -1.064 1.511
Cr -0.162 2.406 -0.056
Rh 0.469 1.301 2.368
Mg -0.919 -0.041 0.913



6.
6
Lattice="-0.391 2.068 4.924 -3.290 -2.231 3.588 2.014 -2.660 4.189" Properties=species:S:1:pos:R:3 comment="Mg4CrRh | the Alexandria database | GGA-PBEsol | relaxed" formation_enthalpy_0k_ev_per_atom=0.456 dos_at_fermi_per_ev_fu=4.052 pbc="T T T"
Mg -2.266 -2.172 6.556
Mg -0.626 -1.060 4.768
Mg -0.821 -0.029 7.222
Mg 0.377 -2.385 6.855
Rh -1.251 -2.117 9.525
Cr 0.000 0.000 0.000



7.
4
Lattice="-3.959 0.541 -1.679 -0.563 -0.090 -4.297 -2.046 -3.344 -1.848" Properties=species:S:1:pos:R:3 comment="MgCrRh2 | the Alexandria database | GGA-PBEsol | relaxed" formation_enthalpy_0k_ev_per_atom=0.195 dos_at_fermi_per_ev_fu=5.143 pbc="T T T"
Rh -4.926 -2.170 -5.868
Rh 0.000 0.000 0.000
Cr -3.284 -1.447 -3.912
Mg -1.642 -0.723 -1.956



8.
4
Lattice="2.722 0.000 0.000 1.361 2.357 0.000 1.361 0.786 8.545" Properties=species:S:1:pos:R:3 comment="MgCrRu2 | the Alexandria database | GGA-PBEsol | relaxed" formation_enthalpy_0k_ev_per_atom=0.162 dos_at_fermi_per_ev_fu=3.363 pbc="T T T"
Cr 2.722 1.572 4.273
Mg 0.000 0.000 0.000
Ru 4.083 2.357 6.227
Ru 1.361 0.786 2.318



9.
4
Lattice="2.900 0.000 0.000 0.000 2.900 0.000 0.000 0.000 6.568" Properties=species:S:1:pos:R:3 comment="MgCrRu2 | the Alexandria database | GGA-PBEsol | relaxed" formation_enthalpy_0k_ev_per_atom=0.364 dos_at_fermi_per_ev_fu=4.635 pbc="T T T"
Mg 1.450 1.450 4.900
Ru 1.450 1.450 1.795
Ru 0.000 0.000 0.061
Cr 0.000 0.000 3.097



10.
4
Lattice="-0.856 1.435 -3.946 -1.020 -2.765 -3.110 -4.008 -0.143 -1.509" Properties=species:S:1:pos:R:3 comment="MgCrRu2 | the Alexandria database | GGA-PBEsol | relaxed" formation_enthalpy_0k_ev_per_atom=0.428 dos_at_fermi_per_ev_fu=5.819 pbc="T T T"
Ru -4.413 -1.105 -6.424
Ru 0.000 0.000 0.000
Mg -1.471 -0.368 -2.141
Cr -2.942 -0.737 -4.283



11.
4
Lattice="-0.842 2.747 -0.555 -2.698 -0.637 0.939 1.642 1.690 5.868" Properties=species:S:1:pos:R:3 comment="MgCrRu2 | the Alexandria database | GGA-PBEsol | relaxed" formation_enthalpy_0k_ev_per_atom=0.066 dos_at_fermi_per_ev_fu=2.640 pbc="T T T"
Mg -0.949 1.900 3.125
Cr -1.770 1.055 0.192
Ru 0.366 0.377 1.308
Ru 1.276 1.313 4.559



12.
14
Lattice="7.123 0.000 0.000 3.562 6.169 0.000 3.562 2.056 5.816" Properties=species:S:1:pos:R:3 comment="MgCr2S4 | the Alexandria database | GGA-PBEsol | relaxed" e_form_raw_mev_per_atom=-894 pbc="T T T"
S 7.123 4.113 4.848
S 8.707 3.198 2.261
S 12.269 7.083 5.009
S 5.539 3.198 2.261
S 7.123 5.942 2.261
S 9.101 7.083 5.009
S 10.685 6.169 2.422
S 10.685 4.340 5.009
Cr 8.904 5.141 3.635
Cr 7.123 2.056 3.635
Cr 7.123 4.113 0.727
Cr 5.342 5.141 3.635
Mg 0.000 0.000 0.000
Mg 3.562 2.056 1.454



Calculated energy (eV per atom), listed in the same order as above: -9.195, -8.339, -6.956, -7.085, -7.239, -3.752, -6.864, -7.914, -7.711, -7.648, -8.010, -6.570
Calculated M_tot (Bohr magnetons per cell), listed in the same order as above: 0.00, 1.52, 0.02, 0.00, 0.00, 3.94, 2.67, 0.00, 0.00, 2.37, 0.02, 12.00